! BaTl2RuBr, PBEsol geometry, DFT meta-GGA SCAN; values from VASP
&SYSTEM
  ibrav = 0, nat = 5, ntyp = 4
/
ATOMIC_SPECIES
Ru 101.07 Ru.upf
Tl 204.38 Tl.upf
Ba 137.33 Ba.upf
Br 79.90 Br.upf
ATOMIC_POSITIONS angstrom
Ru 0.0000 0.0000 0.0000
Tl 0.0000 2.5926 0.0000
Tl 2.5926 0.0000 0.0000
Ba 0.0000 0.0000 2.8828
Br 2.5926 2.5926 2.8828
CELL_PARAMETERS angstrom
5.1852 0.0000 0.0000
0.0000 5.1852 0.0000
0.0000 0.0000 5.7655
! - N(E_F) (states/eV/atom) = 0.32
! - E_form (uncorrected) (meV per atom) = -507.3